The following is a DFT calculation (PBE with a Hubbard U) of an optimized crystal structure of K2PaCo3O8.

a = 7.4265 Å, b = 7.4265 Å, c = 7.4265 Å
α = 47.65°, β = 47.65°, γ = 47.65°
Last column: nearest neighbours and their distance in Å.
Sites, in units of the cell vectors:
K  0.0000  0.0000  0.0000  1 O 2.44
K  0.3331  0.3331  0.3331  6 O 2.71-2.73
Pa  0.8289  0.8289  0.8289  6 O 2.14-2.19
Co  0.3385  0.3385  0.8340  6 O 1.95-1.99
Co  0.3385  0.8340  0.3385  6 O 1.95-1.99
Co  0.8340  0.3385  0.3385  6 O 1.95-1.99
O  0.0664  0.0664  0.5371  2 Co 1.99, 1 Pa 2.19
O  0.0664  0.5371  0.0664  2 Co 1.99, 1 Pa 2.19
O  0.1240  0.1240  0.1240  3 Co 1.97
O  0.1505  0.5957  0.5957  2 Co 1.98, 1 Pa 2.14
O  0.5371  0.0664  0.0664  2 Co 1.99, 1 Pa 2.19
O  0.5510  0.5510  0.5510  3 Co 1.95
O  0.5957  0.1505  0.5957  2 Co 1.98, 1 Pa 2.14
O  0.5957  0.5957  0.1505  2 Co 1.98, 1 Pa 2.14

Values from the calculation:
Symmetry: R3m
VASP energy in eV per atom: -6.46
Fermi-level density of states in states/eV per cell: 0.0